(1)
{
  "formula": "La3IBr2O6",
  "functional": "PBE-GGA",
  "state": "relaxed",
  "magnetic_moment_mub_per_fu": 0.000,
  "e_form_raw_ev_per_atom": -1.907,
  "spacegroup": "C2/m (12)",
  "lattice_angstrom": [[6.175, -3.515, 0.000], [6.175, 3.515, 0.000], [-1.120, 0.000, 5.840]],
  "species": ["La", "La", "La", "I", "Br", "Br", "O", "O", "O", "O", "O", "O"],
  "frac_coords": [[0.000, 0.000, 0.000], [0.000, 0.500, 0.500], [0.500, 0.000, 0.500], [0.500, 0.500, 0.500], [0.220, 0.220, 0.885], [0.780, 0.780, 0.115], [0.196, 0.686, 0.698], [0.314, 0.804, 0.302], [0.336, 0.336, 0.347], [0.664, 0.664, 0.653], [0.686, 0.196, 0.698], [0.804, 0.314, 0.302]]
}

(2)
{
  "formula": "LaI2BrO",
  "functional": "PBE-GGA",
  "state": "relaxed",
  "magnetic_moment_mub_per_fu": 0.254,
  "e_above_lowest_polymorph_mev_per_atom": 924,
  "e_form_raw_ev_per_atom": -0.201,
  "spacegroup": "P4/mmm (123)",
  "lattice_angstrom": [[6.160, 0.000, 0.000], [0.000, 6.160, 0.000], [0.000, 0.000, 4.008]],
  "species": ["La", "I", "I", "Br", "O"],
  "frac_coords": [[0.000, 0.000, 0.000], [0.000, 0.500, 0.500], [0.500, 0.000, 0.500], [0.500, 0.500, 0.500], [0.500, 0.500, 0.000]]
}

(3)
{
  "formula": "La6Os2IBr3",
  "functional": "PBE-GGA",
  "state": "relaxed",
  "magnetic_moment_mub_per_fu": 0.000,
  "e_form_raw_ev_per_atom": -0.970,
  "spacegroup": "C2/m (12)",
  "lattice_angstrom": [[9.779, -2.147, 0.000], [9.779, 2.147, 0.000], [-2.438, 0.000, 9.153]],
  "species": ["La", "La", "La", "La", "La", "La", "Os", "Os", "I", "Br", "Br", "Br"],
  "frac_coords": [[0.028, 0.028, 0.278], [0.321, 0.321, 0.442], [0.321, 0.321, 0.850], [0.679, 0.679, 0.150], [0.679, 0.679, 0.558], [0.972, 0.972, 0.722], [0.169, 0.169, 0.341], [0.831, 0.831, 0.659], [0.500, 0.500, 0.000], [0.154, 0.154, 0.844], [0.500, 0.500, 0.500], [0.846, 0.846, 0.156]]
}

(4)
{
  "formula": "La8Os3I3Br",
  "functional": "PBE-GGA",
  "state": "relaxed",
  "magnetic_moment_mub_per_fu": 0.000,
  "e_form_raw_ev_per_atom": -0.738,
  "spacegroup": "C2/m (12)",
  "lattice_angstrom": [[7.527, -4.345, 0.000], [7.527, 4.345, 0.000], [-5.016, 0.000, 7.930]],
  "species": ["La", "La", "La", "La", "La", "La", "La", "La", "Os", "Os", "Os", "I", "I", "I", "Br"],
  "frac_coords": [[0.199, 0.750, 0.695], [0.232, 0.232, 0.692], [0.250, 0.801, 0.305], [0.252, 0.252, 0.305], [0.748, 0.748, 0.695], [0.750, 0.199, 0.695], [0.768, 0.768, 0.308], [0.801, 0.250, 0.305], [0.000, 0.000, 0.500], [0.000, 0.500, 0.500], [0.500, 0.000, 0.500], [0.000, 0.500, 0.000], [0.500, 0.000, 0.000], [0.500, 0.500, 0.000], [0.500, 0.500, 0.500]]
}

(5)
{
  "formula": "La6Os2I3Br",
  "functional": "PBE-GGA",
  "state": "relaxed",
  "magnetic_moment_mub_per_fu": 0.000,
  "e_form_raw_ev_per_atom": -0.928,
  "spacegroup": "C2/m (12)",
  "lattice_angstrom": [[3.760, -6.508, 0.000], [3.760, 6.508, 0.000], [-2.477, 0.000, 8.206]],
  "species": ["La", "La", "La", "La", "La", "La", "Os", "Os", "I", "I", "I", "Br"],
  "frac_coords": [[0.068, 0.435, 0.807], [0.197, 0.197, 0.191], [0.435, 0.068, 0.807], [0.565, 0.932, 0.193], [0.803, 0.803, 0.809], [0.932, 0.565, 0.193], [0.167, 0.833, 0.000], [0.833, 0.167, 0.000], [0.000, 0.000, 0.500], [0.339, 0.661, 0.500], [0.661, 0.339, 0.500], [0.500, 0.500, 0.000]]
}

(6)
{
  "formula": "La4PI2Br",
  "functional": "PBE-GGA",
  "state": "relaxed",
  "magnetic_moment_mub_per_fu": 0.000,
  "e_form_raw_ev_per_atom": -1.278,
  "spacegroup": "P2/m (10)",
  "lattice_angstrom": [[7.386, 0.000, 0.000], [0.000, 4.259, 0.000], [-2.446, 0.000, 7.969]],
  "species": ["La", "La", "La", "La", "P", "I", "I", "Br"],
  "frac_coords": [[0.218, 0.000, 0.201], [0.246, 0.500, 0.791], [0.754, 0.500, 0.209], [0.782, 0.000, 0.799], [0.000, 0.500, 0.000], [0.000, 0.000, 0.500], [0.500, 0.500, 0.500], [0.500, 0.000, 0.000]]
}

(7)
{
  "formula": "La3PbIBr",
  "functional": "PBE-GGA",
  "state": "relaxed",
  "magnetic_moment_mub_per_fu": 0.430,
  "e_form_raw_ev_per_atom": -1.015,
  "spacegroup": "P2_1/m (11)",
  "lattice_angstrom": [[9.441, 0.000, 0.000], [0.000, 4.478, 0.000], [-2.406, 0.000, 9.968]],
  "species": ["La", "La", "La", "La", "La", "La", "Pb", "Pb", "I", "I", "Br", "Br"],
  "frac_coords": [[0.149, 0.250, 0.099], [0.150, 0.250, 0.469], [0.299, 0.750, 0.825], [0.701, 0.250, 0.175], [0.850, 0.750, 0.531], [0.851, 0.750, 0.901], [0.037, 0.250, 0.758], [0.963, 0.750, 0.242], [0.417, 0.750, 0.153], [0.583, 0.250, 0.847], [0.372, 0.750, 0.553], [0.628, 0.250, 0.447]]
}

(8)
{
  "formula": "La8Pd3I4Br",
  "functional": "PBE-GGA",
  "state": "relaxed",
  "magnetic_moment_mub_per_fu": 0.001,
  "e_form_raw_ev_per_atom": -0.986,
  "spacegroup": "R-3m (166)",
  "lattice_angstrom": [[4.328, 2.499, 7.997], [-4.328, 2.499, 7.997], [0.000, -4.997, 7.997]],
  "species": ["La", "La", "La", "La", "La", "La", "La", "La", "Pd", "Pd", "Pd", "I", "I", "I", "I", "Br"],
  "frac_coords": [[0.229, 0.229, 0.229], [0.231, 0.740, 0.740], [0.260, 0.260, 0.769], [0.260, 0.769, 0.260], [0.740, 0.231, 0.740], [0.740, 0.740, 0.231], [0.769, 0.260, 0.260], [0.771, 0.771, 0.771], [0.000, 0.000, 0.500], [0.000, 0.500, 0.000], [0.500, 0.000, 0.000], [0.000, 0.000, 0.000], [0.000, 0.500, 0.500], [0.500, 0.000, 0.500], [0.500, 0.500, 0.000], [0.500, 0.500, 0.500]]
}

(9)
{
  "formula": "La4PdI2Br",
  "functional": "PBE-GGA",
  "state": "relaxed",
  "magnetic_moment_mub_per_fu": 0.000,
  "e_form_raw_ev_per_atom": -1.030,
  "spacegroup": "P2/m (10)",
  "lattice_angstrom": [[7.599, 0.000, 0.000], [0.000, 4.243, 0.000], [-2.515, 0.000, 7.965]],
  "species": ["La", "La", "La", "La", "Pd", "I", "I", "Br"],
  "frac_coords": [[0.220, 0.000, 0.204], [0.260, 0.500, 0.781], [0.740, 0.500, 0.219], [0.780, 0.000, 0.796], [0.000, 0.500, 0.000], [0.000, 0.000, 0.500], [0.500, 0.500, 0.500], [0.500, 0.000, 0.000]]
}

(10)
{
  "formula": "LaPrIBr",
  "functional": "PBE-GGA",
  "state": "relaxed",
  "magnetic_moment_mub_per_fu": 0.002,
  "e_form_raw_ev_per_atom": -0.946,
  "spacegroup": "F-43m (216)",
  "lattice_angstrom": [[7.733, 0.000, 0.000], [0.000, 7.733, 0.000], [0.000, 0.000, 7.733]],
  "species": ["La", "La", "La", "La", "Pr", "Pr", "Pr", "Pr", "I", "I", "I", "I", "Br", "Br", "Br", "Br"],
  "frac_coords": [[0.000, 0.000, 0.000], [0.000, 0.500, 0.500], [0.500, 0.000, 0.500], [0.500, 0.500, 0.000], [0.000, 0.000, 0.500], [0.000, 0.500, 0.000], [0.500, 0.000, 0.000], [0.500, 0.500, 0.500], [0.250, 0.250, 0.750], [0.250, 0.750, 0.250], [0.750, 0.250, 0.250], [0.750, 0.750, 0.750], [0.250, 0.250, 0.250], [0.250, 0.750, 0.750], [0.750, 0.250, 0.750], [0.750, 0.750, 0.250]]
}

(11)
{
  "formula": "La4PtI2Br",
  "functional": "PBE-GGA",
  "state": "relaxed",
  "magnetic_moment_mub_per_fu": 0.000,
  "e_form_raw_ev_per_atom": -1.160,
  "spacegroup": "P2/m (10)",
  "lattice_angstrom": [[7.701, 0.000, 0.000], [0.000, 4.264, 0.000], [-2.489, 0.000, 7.863]],
  "species": ["La", "La", "La", "La", "Pt", "I", "I", "Br"],
  "frac_coords": [[0.215, 0.000, 0.203], [0.252, 0.500, 0.780], [0.748, 0.500, 0.220], [0.785, 0.000, 0.797], [0.000, 0.500, 0.000], [0.000, 0.000, 0.500], [0.500, 0.500, 0.500], [0.500, 0.000, 0.000]]
}

(12)
{
  "formula": "LaPt2IBr",
  "functional": "PBE-GGA",
  "state": "relaxed",
  "magnetic_moment_mub_per_fu": 0.000,
  "e_form_raw_ev_per_atom": 0.075,
  "spacegroup": "P4/mmm (123)",
  "lattice_angstrom": [[4.979, 0.000, 0.000], [0.000, 4.979, 0.000], [0.000, 0.000, 6.146]],
  "species": ["La", "Pt", "Pt", "I", "Br"],
  "frac_coords": [[0.000, 0.000, 0.000], [0.000, 0.500, 0.500], [0.500, 0.000, 0.500], [0.000, 0.000, 0.500], [0.500, 0.500, 0.000]]
}